A | The following is a PBE calculation of HfTa2CrCd after structural relaxation, from Alexandria via LeMat-Bulk.

It has space group P4/mmm (No. 123), with a = 4.884 Å, b = 4.884 Å, c = 5.245 Å, α = 90.00°, β = 90.00° and γ = 90.00°. The asymmetric unit holds Hf at (0.000, 0.000, 0.000), Ta at (0.000, 0.500, 0.000), Cr at (0.500, 0.500, 0.500) and Cd at (0.000, 0.000, 0.500).


B | The following is a PBE calculation of HfTa2CrCd after structural relaxation, from Alexandria via LeMat-Bulk.

It has space group P4/mmm (No. 123), with a = 4.984 Å, b = 4.984 Å, c = 4.585 Å, α = 90.00°, β = 90.00° and γ = 90.00°. The asymmetric unit holds Hf at (0.000, 0.000, 0.000), Ta at (0.000, 0.500, 0.500), Cr at (0.500, 0.500, 0.000) and Cd at (0.500, 0.500, 0.500).


Most stable structure: B